Record 1
V2Si2Pt, optimized geometry, DFT GGA-PBE; formation energy (no corrections) = 1.57 kcal/mol of atoms; symmetry = I4/mmm (139); energy relative to the lowest polymorph listed for this composition = 612 meV per atom; M_tot = 0.01 μB/f.u.; density = 7.95 Mg/m³; N(E_F) = 7.8 states/eV per cell
1.0
-0.2470 2.8982 -2.2095
-2.1956 -1.8859 -2.2283
-5.6251 2.2887 0.6117
V Si Pt
2 2 1
direct
0.7500 0.2500 0.5000
0.2500 0.7500 0.5000
0.5990 0.5990 0.8021
0.4010 0.4010 0.1979
0.0000 0.0000 0.0000

Record 2
V2SiPt2, optimized geometry, DFT GGA-PBE; formation energy (no corrections) = -4.50 kcal/mol of atoms; symmetry = P4/mbm (127); M_tot = 1.08 μB/f.u.; density = 11.25 Mg/m³; N(E_F) = 8.5 states/eV per cell
1.0
-5.8865 -4.3589 1.6248
3.2726 -5.7427 -3.5499
1.2018 -0.7549 2.3291
V Si Pt
4 2 4
direct
0.3320 0.1680 0.5000
0.6680 0.8320 0.5000
0.1680 0.6680 0.5000
0.8320 0.3320 0.5000
0.5000 0.5000 0.0000
0.0000 0.0000 0.0000
0.8706 0.6294 0.0000
0.1294 0.3706 0.0000
0.3706 0.8706 0.0000
0.6294 0.1294 0.0000

Record 3
V2SiPt, optimized geometry, DFT GGA-PBE; formation energy (no corrections) = -5.72 kcal/mol of atoms; symmetry = R-3m (166); M_tot = 0.00 μB/f.u.; density = 9.70 Mg/m³; N(E_F) = 3.7 states/eV per cell
1.0
2.7298 0.0000 0.0000
1.3649 2.3641 0.0000
1.3649 0.7880 8.6201
V Si Pt
2 1 1
direct
0.7475 0.7475 0.7576
0.2525 0.2525 0.2424
0.0000 0.0000 0.0000
0.5000 0.5000 0.5000

Record 4
V2Si2Pt, optimized geometry, DFT GGA-PBE; formation energy (no corrections) = -12.54 kcal/mol of atoms; symmetry = P4/mbm (127); energy relative to the lowest polymorph listed for this composition = 0 meV per atom; M_tot = 0.00 μB/f.u.; density = 8.59 Mg/m³; N(E_F) = 7.0 states/eV per cell
1.0
-2.2270 1.6648 5.5820
4.3715 -3.4719 2.7796
2.1674 2.7618 0.0410
Si V Pt
4 4 2
direct
0.8690 0.6310 0.0000
0.6310 0.1310 0.0000
0.3690 0.8690 0.0000
0.1310 0.3690 0.0000
0.8328 0.3328 0.5000
0.1672 0.6672 0.5000
0.6672 0.8328 0.5000
0.3328 0.1672 0.5000
0.5000 0.5000 0.0000
0.0000 0.0000 0.0000

Record 5
V12Si6Pt, optimized geometry, DFT GGA-PBE; formation energy (no corrections) = -8.96 kcal/mol of atoms; symmetry = R-3 (148); M_tot = 0.00 μB/f.u.; density = 6.43 Mg/m³; N(E_F) = 15.8 states/eV per cell
1.0
6.8762 -0.8171 -0.9789
-1.8501 6.6729 -0.9789
-1.8501 -2.1555 6.3906
Si V Pt
6 12 1
direct
0.9421 0.4298 0.6486
0.3514 0.0579 0.5702
0.5702 0.3514 0.0579
0.4298 0.6486 0.9421
0.6486 0.9421 0.4298
0.0579 0.5702 0.3514
0.5181 0.7895 0.6668
0.2613 0.8873 0.8117
0.6668 0.5181 0.7895
0.7387 0.1127 0.1883
0.7895 0.6668 0.5181
0.4819 0.2105 0.3332
0.8117 0.2613 0.8873
0.8873 0.8117 0.2613
0.2105 0.3332 0.4819
0.1883 0.7387 0.1127
0.3332 0.4819 0.2105
0.1127 0.1883 0.7387
0.0000 0.0000 0.0000

Record 6
VSiPt, optimized geometry, DFT GGA-PBE; formation energy (no corrections) = -10.66 kcal/mol of atoms; symmetry = F-43m (216); M_tot = 1.00 μB/f.u.; density = 9.24 Mg/m³; N(E_F) = 2.2 states/eV per cell
1.0
-0.0306 -2.4213 -3.3275
-2.0432 -3.5715 0.0728
-3.4543 -0.4395 -2.1933
Si V Pt
1 1 1
direct
0.0000 0.0000 0.0000
0.5000 0.5000 0.5000
0.2500 0.2500 0.2500

Record 7
V2SiPt, optimized geometry, DFT GGA-PBE; formation energy (no corrections) = -11.62 kcal/mol of atoms; symmetry = P4/mmm (123); M_tot = 0.00 μB/f.u.; density = 10.00 Mg/m³; N(E_F) = 1.5 states/eV per cell
1.0
2.7056 0.0000 0.0000
0.0000 2.7056 0.0000
0.0000 0.0000 7.3702
V Pt Si
2 1 1
direct
0.0000 0.0000 0.2337
0.0000 0.0000 0.7663
0.5000 0.5000 0.5000
0.5000 0.5000 0.0000

Record 8
VSiPt, optimized geometry, DFT GGA-PBE; formation energy (no corrections) = -12.38 kcal/mol of atoms; symmetry = P-6m2 (187); M_tot = 0.67 μB/f.u.; density = 10.79 Mg/m³; N(E_F) = 3.4 states/eV per cell
1.0
-2.7520 0.2113 0.0773
-0.1969 -3.4425 2.3991
0.3409 3.7872 1.7848
Si Pt V
1 1 1
direct
0.1663 0.3333 0.6667
0.1669 0.0000 0.0000
0.6669 0.6667 0.3333

Record 9
V4Si2Pt, optimized geometry, DFT GGA-PBE; formation energy (no corrections) = 17.51 kcal/mol of atoms; symmetry = I4/mmm (139); M_tot = 5.47 μB/f.u.; density = 5.62 Mg/m³; N(E_F) = 10.0 states/eV per cell
1.0
4.6798 0.0000 0.0000
0.0000 4.6798 0.0000
2.3399 2.3399 6.1410
V Pt Si
4 1 2
direct
0.2029 0.2029 0.5941
0.0000 0.5000 0.0000
0.5000 0.0000 0.0000
0.7971 0.7971 0.4059
0.0000 0.0000 0.0000
0.4024 0.4024 0.1953
0.5976 0.5976 0.8047

Record 10
Y2VSi4Pt3, optimized geometry, DFT GGA-PBE; formation energy (no corrections) = -22.54 kcal/mol of atoms; symmetry = P-4m2 (115); M_tot = 1.22 μB/f.u.; density = 8.84 Mg/m³; N(E_F) = 5.5 states/eV per cell
1.0
4.1250 0.0000 0.0000
0.0000 4.1250 0.0000
0.0000 0.0000 10.2225
Si V Pt Y
4 1 3 2
direct
0.5000 0.0000 0.6363
0.0000 0.0000 0.0000
0.0000 0.5000 0.3637
0.5000 0.5000 0.0000
0.5000 0.5000 0.5000
0.0000 0.0000 0.5000
0.5000 0.0000 0.8744
0.0000 0.5000 0.1256
0.5000 0.0000 0.2478
0.0000 0.5000 0.7522

Record 11
SiPtW2, optimized geometry, DFT GGA-PBE; formation energy (no corrections) = 0.49 kcal/mol of atoms; symmetry = R-3m (166); M_tot = 0.00 μB/f.u.; density = 16.13 Mg/m³; N(E_F) = 2.3 states/eV per cell
1.0
-9.0563 -0.3399 -0.4880
-8.4556 -0.9368 -3.1616
-8.4824 -2.9799 -1.2406
Si W Pt
1 2 1
direct
0.7500 0.7500 0.7500
0.4970 0.4970 0.4970
0.0030 0.0030 0.0030
0.2500 0.2500 0.2500

Record 12
SiPt4W, optimized geometry, DFT GGA-PBE; formation energy (no corrections) = 10.49 kcal/mol of atoms; symmetry = F-43m (216); M_tot = 1.98 μB/f.u.; density = 16.40 Mg/m³; N(E_F) = 3.6 states/eV per cell
1.0
1.4693 -4.7306 -1.6397
-2.4439 -2.2400 -4.0293
2.4556 -0.5297 -4.5733
Pt W Si
4 1 1
direct
0.8763 0.3746 0.3746
0.3746 0.8763 0.3746
0.3746 0.3746 0.3746
0.3746 0.3746 0.8763
0.0000 0.0000 0.0000
0.7500 0.7500 0.7500

Record 13
SiPtW2, optimized geometry, DFT GGA-PBE; formation energy (no corrections) = -2.63 kcal/mol of atoms; symmetry = Imm2 (44); M_tot = 0.00 μB/f.u.; density = 16.34 Mg/m³; N(E_F) = 2.1 states/eV per cell
1.0
5.1344 0.0006 -0.0017
2.2670 4.6068 0.0017
-3.1938 -3.1180 2.5377
Pt Si W
1 1 2
direct
0.4718 0.4718 0.0000
0.2563 0.7563 0.5000
0.0273 0.0273 0.0000
0.7447 0.2447 0.5000

Record 14
SiPtW, optimized geometry, DFT GGA-PBE; formation energy (no corrections) = 5.81 kcal/mol of atoms; symmetry = F-43m (216); energy relative to the lowest polymorph listed for this composition = 400 meV per atom; M_tot = 0.00 μB/f.u.; density = 12.58 Mg/m³; N(E_F) = 3.1 states/eV per cell
1.0
-1.3315 -3.8527 -1.1509
0.7285 -1.4066 -3.9283
2.8074 -3.1040 -0.6515
Pt Si W
1 1 1
direct
0.0000 0.0000 0.0000
0.5000 0.5000 0.5000
0.7500 0.7500 0.7500

Record 15
SiPtW3, optimized geometry, DFT GGA-PBE; formation energy (no corrections) = 52.74 kcal/mol of atoms; symmetry = Pm-3m (221); energy relative to the lowest polymorph listed for this composition = 1064 meV per atom; M_tot = 0.00 μB/f.u.; density = 11.77 Mg/m³; N(E_F) = 7.4 states/eV per cell
1.0
-1.1623 -4.0010 -2.3440
4.4999 -1.5567 0.4258
-1.1196 -2.1029 4.1446
W Si Pt
3 1 1
direct
0.0000 0.5000 0.0000
0.5000 0.0000 0.0000
0.0000 0.0000 0.5000
0.5000 0.5000 0.5000
0.0000 0.0000 0.0000

Record 16
SiPtW2, optimized geometry, DFT GGA-PBE; formation energy (no corrections) = 28.31 kcal/mol of atoms; symmetry = I-42d (122); M_tot = 0.00 μB/f.u.; density = 10.91 Mg/m³; N(E_F) = 12.9 states/eV per cell
1.0
-0.7856 -2.4439 -5.2342
-0.7328 -5.1975 2.5368
-5.9620 -2.9129 -0.9917
W Si Pt
4 2 2
direct
0.6234 0.1250 0.2500
0.8750 0.8734 0.7500
0.1266 0.6250 0.2500
0.3750 0.3766 0.7500
0.5000 0.5000 0.0000
0.2500 0.7500 0.5000
0.0000 0.0000 0.0000
0.7500 0.2500 0.5000

Record 17
SiPtW2, optimized geometry, DFT GGA-PBE; formation energy (no corrections) = 1.25 kcal/mol of atoms; symmetry = Pmm2 (25); M_tot = 0.00 μB/f.u.; density = 16.02 Mg/m³; N(E_F) = 2.0 states/eV per cell
1.0
-1.8166 1.9984 -0.4716
-2.2325 -2.5386 -2.1577
-2.7905 -1.4522 4.5957
Pt W Si
1 2 1
direct
0.0000 0.0000 0.4948
0.0000 0.0000 0.9841
0.5000 0.5000 0.2673
0.5000 0.5000 0.7538

Record 18
SiPtW2, optimized geometry, DFT GGA-PBE; formation energy (no corrections) = -0.30 kcal/mol of atoms; symmetry = P4mm (99); M_tot = 0.00 μB/f.u.; density = 15.88 Mg/m³; N(E_F) = 2.4 states/eV per cell
1.0
3.3013 0.0000 0.0000
0.0000 3.3013 0.0000
0.0000 0.0000 5.6676
W Si Pt
2 1 1
direct
0.0000 0.0000 0.0075
0.5000 0.5000 0.2263
0.5000 0.5000 0.7351
0.0000 0.0000 0.5311

Record 19
Si2Pt2W, optimized geometry, DFT GGA-PBE; formation energy (no corrections) = 1.08 kcal/mol of atoms; symmetry = I4/mmm (139); energy relative to the lowest polymorph listed for this composition = 275 meV per atom; M_tot = 0.00 μB/f.u.; density = 13.64 Mg/m³; N(E_F) = 4.3 states/eV per cell
1.0
-4.5455 2.8019 2.6399
-1.6421 5.6609 -0.8600
1.4618 -5.0067 -2.8771
Si Pt W
2 2 1
direct
0.3940 0.3940 0.0000
0.6060 0.6060 0.0000
0.2500 0.7500 0.5000
0.7500 0.2500 0.5000
0.0000 0.0000 0.0000

Record 20
SiPtW, optimized geometry, DFT GGA-PBE; formation energy (no corrections) = -2.44 kcal/mol of atoms; symmetry = P-6m2 (187); energy relative to the lowest polymorph listed for this composition = 42 meV per atom; M_tot = 0.00 μB/f.u.; density = 15.15 Mg/m³; N(E_F) = 3.3 states/eV per cell
1.0
4.2435 0.0000 0.0000
-2.1218 3.6750 0.0000
0.0000 0.0000 2.8598
W Si Pt
1 1 1
direct
0.3333 0.6667 0.6668
0.6667 0.3333 0.1666
0.0000 0.0000 0.1667

Record 21
SiPtW, optimized geometry, DFT GGA-PBE; formation energy (no corrections) = -1.55 kcal/mol of atoms; symmetry = I4mm (107); energy relative to the lowest polymorph listed for this composition = 81 meV per atom; M_tot = 0.00 μB/f.u.; density = 15.21 Mg/m³; N(E_F) = 1.4 states/eV per cell
1.0
-2.8357 -3.8330 -3.6393
-0.7880 -5.3846 -2.5217
-1.8630 -1.2439 1.6827
Pt Si W
1 1 1
direct
0.9965 0.9965 0.0035
0.3325 0.3325 0.6675
0.6710 0.6710 0.3290

Record 22
SiPtW2, optimized geometry, DFT GGA-PBE; formation energy (no corrections) = 5.25 kcal/mol of atoms; symmetry = F-43m (216); M_tot = 0.00 μB/f.u.; density = 16.03 Mg/m³; N(E_F) = 3.5 states/eV per cell
1.0
4.4235 0.0000 0.0000
2.2118 3.8309 0.0000
2.2118 1.2770 3.6118
W Si Pt
2 1 1
direct
0.2500 0.2500 0.2500
0.0000 0.0000 0.0000
0.7500 0.7500 0.7500
0.5000 0.5000 0.5000

Record 23
SiPtW2, optimized geometry, DFT GGA-PBE; formation energy (no corrections) = -1.13 kcal/mol of atoms; symmetry = Immm (71); M_tot = 0.00 μB/f.u.; density = 16.26 Mg/m³; N(E_F) = 1.8 states/eV per cell
1.0
5.0223 -0.0325 0.0069
3.8975 3.1675 0.0069
1.7548 0.6167 3.7664
W Si Pt
2 1 1
direct
0.5129 0.5129 0.4874
0.9871 0.9871 0.0126
0.2500 0.2500 0.2500
0.7500 0.7500 0.7500

Record 24
SiPtW, optimized geometry, DFT GGA-PBE; formation energy (no corrections) = -3.14 kcal/mol of atoms; symmetry = P3m1 (156); energy relative to the lowest polymorph listed for this composition = 12 meV per atom; M_tot = 0.00 μB/f.u.; density = 15.16 Mg/m³; N(E_F) = 1.6 states/eV per cell
1.0
2.8336 0.0000 0.0000
-1.4168 2.4540 0.0000
0.0000 0.0000 6.4120
W Si Pt
1 1 1
direct
0.3333 0.6667 0.6554
0.6667 0.3333 0.3274
0.0000 0.0000 0.0171

Record 25
SiPtW3, optimized geometry, DFT GGA-PBE; formation energy (no corrections) = 28.19 kcal/mol of atoms; symmetry = Pm-3m (221); energy relative to the lowest polymorph listed for this composition = 0 meV per atom; M_tot = 0.00 μB/f.u.; density = 14.64 Mg/m³; N(E_F) = 4.3 states/eV per cell
1.0
4.4458 0.0000 0.0000
0.0000 4.4458 0.0000
0.0000 0.0000 4.4458
Pt W Si
1 3 1
direct
0.5000 0.5000 0.5000
0.0000 0.5000 0.0000
0.0000 0.0000 0.5000
0.5000 0.0000 0.0000
0.0000 0.0000 0.0000

Record 26
Si2Pt2W, optimized geometry, DFT GGA-PBE; formation energy (no corrections) = 0.23 kcal/mol of atoms; symmetry = P4/mbm (127); energy relative to the lowest polymorph listed for this composition = 238 meV per atom; M_tot = 0.00 μB/f.u.; density = 14.05 Mg/m³; N(E_F) = 5.9 states/eV per cell
1.0
7.3310 0.0000 0.0000
0.0000 7.3310 0.0000
0.0000 0.0000 2.7716
Pt Si W
4 4 2
direct
0.8666 0.6334 0.0000
0.6334 0.1334 0.0000
0.3666 0.8666 0.0000
0.1334 0.3666 0.0000
0.1697 0.6697 0.5000
0.3303 0.1697 0.5000
0.6697 0.8303 0.5000
0.8303 0.3303 0.5000
0.0000 0.0000 0.0000
0.5000 0.5000 0.0000

Record 27
SiPtW2, optimized geometry, DFT GGA-PBE; formation energy (no corrections) = -2.14 kcal/mol of atoms; symmetry = Cm (8); M_tot = 0.00 μB/f.u.; density = 16.31 Mg/m³; N(E_F) = 2.2 states/eV per cell
1.0
-3.5341 3.2384 -1.6058
-4.7452 0.7388 -1.5790
-2.6609 1.3287 3.6836
Si W Pt
1 2 1
direct
0.2381 0.2381 0.2078
0.9766 0.9766 0.0622
0.7643 0.7643 0.6985
0.5210 0.5210 0.5315